Record 1
The following is a GGA-PBE calculation of an optimized crystal structure of SrFe2Hg, from the Alexandria database.

Cell: 4.650 4.650 10.054 Å, 76.63 76.63 90.00°
Site moments in Bohr magnetons follow the coordinates.
Positions (direct):
Sr 0.500 0.500 0.000  -0.07
Sr 0.250 0.750 0.500  -0.07
Hg 0.000 0.000 0.000  -0.06
Hg 0.750 0.250 0.500  -0.06
Fe 0.875 0.125 0.250  2.69
Fe 0.875 0.625 0.250  2.73
Fe 0.375 0.125 0.750  2.64
Fe 0.875 0.125 0.750  2.67

## Properties
- Size of the total moment: 1.247 μB per atom
- Fermi-level density of states: 9.18 states/eV/cell
- Total energy: -4.2330 eV per atom

Record 2
The following is a GGA-PBE calculation of an optimized crystal structure of Ho12MgAl3, from the Alexandria database.

Cell: 4.771 4.771 19.128 Å, 90.00 90.00 90.00°
Positions (direct):
Ho 0.500 0.500 0.000
Ho 0.500 0.500 0.254
Ho 0.500 0.500 0.500
Ho 0.500 0.500 0.746
Ho 0.500 0.000 0.131
Ho 0.500 0.000 0.377
Ho 0.500 0.000 0.623
Ho 0.500 0.000 0.869
Ho 0.000 0.500 0.131
Ho 0.000 0.500 0.377
Ho 0.000 0.500 0.623
Ho 0.000 0.500 0.869
Mg 0.000 0.000 0.000
Al 0.000 0.000 0.253
Al 0.000 0.000 0.500
Al 0.000 0.000 0.747

## Properties
- Size of the total moment: 0.000 μB per atom
- Fermi-level density of states: 23.13 states/eV/cell
- Total energy: -4.3675 eV per atom

Record 3
The following is a GGA-PBE calculation of an optimized crystal structure of InFe2Si, from the Alexandria database.

Cell: 3.102 3.102 6.058 Å, 90.00 90.00 90.00°
Site moments in Bohr magnetons follow the coordinates.
Positions (direct):
Fe 0.000 0.000 0.984  1.97
Fe 0.500 0.500 0.211  2.35
In 0.000 0.000 0.485  -0.08
Si 0.500 0.500 0.820  -0.04

## Properties
- Size of the total moment: 1.024 μB per atom
- Fermi-level density of states: 1.69 states/eV/cell
- Total energy: -6.1883 eV per atom
- Uncorrected formation energy: 0.083 eV/atom

Record 4
The following is a GGA-PBE calculation of an optimized crystal structure of Zn2CoCuGe, from the Alexandria database.

Cell: 4.715 4.461 4.715 Å, 90.00 90.00 90.00°
Site moments in Bohr magnetons follow the coordinates.
Positions (direct):
Ge 0.000 0.000 0.000  0.02
Co 0.500 0.500 0.500  2.02
Zn 0.000 0.000 0.500  -0.02
Zn 0.500 0.000 0.000  0.00
Cu 0.000 0.500 0.000  0.03

## Properties
- Size of the total moment: 0.407 μB per atom
- Fermi-level density of states: 7.69 states/eV/cell
- Total energy: -2.7246 eV per atom